Entry 1:
The following is a PBE calculation of a relaxed structure of PuMnSe2, from Alexandria via LeMat-Bulk.

Properties
polymorph energy (0 for the lowest one) = 0.00 eV/f.u.

Lattice parameters (Å, degrees): 4.323 4.326 7.714 73.76 73.82 59.98
Site moments in Bohr magnetons follow the coordinates.
Element x y z (fractional)
Pu 0.733 0.176 0.704  -5.40
Mn 0.244 0.690 0.164  4.15
Se 0.127 0.571 0.519  0.09
Se 0.601 0.047 0.092  0.07



Entry 2:
The following is a PBE calculation of a relaxed structure of Pu3MnSe6, from Alexandria via LeMat-Bulk.

Lattice parameters (Å, degrees): 6.835 8.934 8.934 101.91 90.00 90.00
Site moments in Bohr magnetons follow the coordinates.
Element x y z (fractional)
Pu 0.472 0.923 0.720  -4.96
Pu 0.972 0.720 0.923  -4.96
Pu 0.399 0.392 0.608  4.97
Pu 0.899 0.608 0.392  4.97
Pu 0.972 0.077 0.280  -4.96
Pu 0.472 0.280 0.077  -4.96
Mn 0.026 0.198 0.802  4.00
Mn 0.526 0.802 0.198  4.00
Se 0.184 0.688 0.636  0.02
Se 0.684 0.636 0.688  0.02
Se 0.203 0.441 0.904  0.03
Se 0.703 0.904 0.441  0.03
Se 0.180 0.032 0.968  0.11
Se 0.663 0.222 0.778  0.04
Se 0.163 0.778 0.222  0.04
Se 0.680 0.968 0.032  0.11
Se 0.203 0.096 0.559  0.03
Se 0.703 0.559 0.096  0.03
Se 0.184 0.364 0.312  0.02
Se 0.684 0.312 0.364  0.02



Entry 3:
The following is a PBE calculation of a relaxed structure of Pu2MnSe4, from Alexandria via LeMat-Bulk.

Lattice parameters (Å, degrees): 3.947 6.919 13.826 90.00 90.00 106.57
Site moments in Bohr magnetons follow the coordinates.
Element x y z (fractional)
Pu 0.134 0.268 0.425  5.18
Pu 0.866 0.732 0.925  5.18
Pu 0.134 0.268 0.075  5.18
Pu 0.866 0.732 0.575  5.18
Mn 0.621 0.243 0.750  4.30
Mn 0.379 0.757 0.250  4.30
Se 0.782 0.565 0.123  -0.09
Se 0.782 0.565 0.377  -0.09
Se 0.218 0.435 0.877  -0.09
Se 0.218 0.435 0.623  -0.09
Se 0.987 0.973 0.750  -0.06
Se 0.013 0.027 0.250  -0.06
Se 0.500 0.000 0.000  -0.13
Se 0.500 0.000 0.500  -0.13



Entry 4:
The following is a PBE calculation of a relaxed structure of PuMn4Se8, from Alexandria via LeMat-Bulk.

Lattice parameters (Å, degrees): 7.387 7.387 7.913 62.17 62.17 60.00
Site moments in Bohr magnetons follow the coordinates.
Element x y z (fractional)
Pu 0.500 0.500 0.500  5.20
Mn 0.000 0.500 0.000  3.48
Mn 0.500 0.500 0.000  3.48
Mn 0.500 0.000 0.000  3.48
Mn 0.000 0.000 0.000  3.97
Se 0.738 0.240 0.783  -0.09
Se 0.760 0.262 0.217  -0.09
Se 0.262 0.760 0.217  -0.09
Se 0.760 0.760 0.217  -0.09
Se 0.735 0.735 0.795  -0.09
Se 0.265 0.265 0.205  -0.09
Se 0.240 0.240 0.783  -0.09
Se 0.240 0.738 0.783  -0.09



Entry 5:
The following is a PBE calculation of a relaxed structure of Pu3Mn5Se12, from Alexandria via LeMat-Bulk.

Lattice parameters (Å, degrees): 13.629 13.629 13.629 109.47 109.47 109.47
Site moments in Bohr magnetons follow the coordinates.
Element x y z (fractional)
Pu 0.750 0.375 0.125  5.14
Pu 0.875 0.750 0.125  5.14
Pu 0.375 0.750 0.625  5.14
Pu 0.250 0.125 0.375  5.14
Pu 0.875 0.125 0.250  5.14
Pu 0.375 0.625 0.250  5.14
Pu 0.625 0.375 0.750  5.14
Pu 0.125 0.875 0.750  5.14
Pu 0.750 0.875 0.625  5.14
Pu 0.625 0.250 0.375  5.14
Pu 0.125 0.250 0.875  5.14
Pu 0.250 0.625 0.875  5.14
Mn 0.125 0.375 0.250  3.79
Mn 0.000 0.500 0.000  3.75
Mn 0.000 0.000 0.000  3.75
Mn 0.375 0.250 0.125  3.79
Mn 0.500 0.000 0.500  3.75
Mn 0.500 0.500 0.000  3.75
Mn 0.125 0.750 0.375  3.79
Mn 0.750 0.125 0.875  3.79
Mn 0.750 0.625 0.375  3.79
Mn 0.375 0.125 0.750  3.79
Mn 0.625 0.875 0.250  3.79
Mn 0.500 0.500 0.500  3.75
Mn 0.500 0.000 0.000  3.75
Mn 0.000 0.000 0.500  3.75
Mn 0.250 0.375 0.625  3.79
Mn 0.250 0.875 0.125  3.79
Mn 0.000 0.500 0.500  3.75
Mn 0.875 0.250 0.625  3.79
Mn 0.625 0.750 0.875  3.79
Mn 0.875 0.625 0.750  3.79
Se 0.711 0.123 0.035  -0.10
Se 0.324 0.535 0.412  -0.10
Se 0.965 0.377 0.289  -0.10
Se 0.535 0.211 0.123  -0.10
Se 0.588 0.711 0.676  -0.10
Se 0.965 0.588 0.176  -0.10
Se 0.324 0.789 0.412  -0.10
Se 0.088 0.912 0.123  -0.10
Se 0.588 0.965 0.676  -0.10
Se 0.711 0.588 0.176  -0.10
Se 0.789 0.465 0.377  -0.10
Se 0.824 0.912 0.035  -0.10
Se 0.123 0.711 0.535  -0.10
Se 0.377 0.412 0.088  -0.10
Se 0.088 0.912 0.377  -0.10
Se 0.412 0.123 0.588  -0.10
Se 0.088 0.176 0.211  -0.10
Se 0.465 0.676 0.088  -0.10
Se 0.824 0.912 0.289  -0.10
Se 0.123 0.412 0.088  -0.10
Se 0.377 0.965 0.789  -0.10
Se 0.588 0.623 0.412  -0.10
Se 0.912 0.824 0.535  -0.10
Se 0.789 0.324 0.912  -0.10
Se 0.412 0.377 0.588  -0.10
Se 0.088 0.176 0.465  -0.10
Se 0.211 0.676 0.088  -0.10
Se 0.176 0.088 0.711  -0.10
Se 0.623 0.035 0.211  -0.10
Se 0.877 0.588 0.912  -0.10
Se 0.535 0.324 0.912  -0.10
Se 0.588 0.877 0.412  -0.10
Se 0.912 0.824 0.789  -0.10
Se 0.912 0.088 0.623  -0.10
Se 0.877 0.289 0.465  -0.10
Se 0.176 0.088 0.965  -0.10
Se 0.623 0.588 0.912  -0.10
Se 0.412 0.035 0.324  -0.10
Se 0.289 0.412 0.824  -0.10
Se 0.211 0.535 0.623  -0.10
Se 0.912 0.088 0.877  -0.10
Se 0.676 0.211 0.588  -0.10
Se 0.465 0.789 0.877  -0.10
Se 0.035 0.412 0.824  -0.10
Se 0.412 0.289 0.324  -0.10
Se 0.035 0.623 0.711  -0.10
Se 0.676 0.465 0.588  -0.10
Se 0.289 0.877 0.965  -0.10



Entry 6:
The following is a PBE calculation of a relaxed structure of PuMnSe2, from Alexandria via LeMat-Bulk.

Properties
polymorph energy (0 for the lowest one) = 1.22 eV/f.u.

Lattice parameters (Å, degrees): 3.721 3.721 8.821 77.82 77.82 60.00
Site moments in Bohr magnetons follow the coordinates.
Element x y z (fractional)
Mn 0.500 0.500 0.500  3.87
Se 0.110 0.110 0.669  -0.06
Se 0.890 0.890 0.331  -0.06
Pu 0.000 0.000 0.000  5.82



no.,uncorrected formation energy (eV/f.u.)
1,-2.81
2,-11.53
3,-7.33
4,-8.09
5,-15.98
6,-1.58